# 1
VASP calculation (PBE-GGA) on a relaxed structure of CeMg4Sc5.

a b c (Å): 3.518 3.518 19.302
angles (deg): 90.00 90.00 90.00
Each line ends with the local moment (μB).
Fractional positions:
Ce (0.000, 0.000, 0.000)  0.28
Mg (0.000, 0.000, 0.212)  0.00
Mg (0.000, 0.000, 0.404)  0.00
Mg (0.000, 0.000, 0.596)  0.00
Mg (0.000, 0.000, 0.788)  0.00
Sc (0.500, 0.500, 0.114)  -0.01
Sc (0.500, 0.500, 0.309)  -0.01
Sc (0.500, 0.500, 0.500)  -0.01
Sc (0.500, 0.500, 0.691)  -0.01
Sc (0.500, 0.500, 0.886)  -0.01

Summary:
SG: No. 123
calculated volume: 23.89 Å³/atom
energy relative to the elements: -0.0121 eV/atom
magnetic moment: 0.23 μB per formula unit
VASP energy: -44.09 eV/cell

***

# 2
VASP calculation (PBE-GGA) on a relaxed structure of CeMgSc4Se8.

a b c (Å): 8.009 8.009 8.155
angles (deg): 60.59 60.59 60.00
Each line ends with the local moment (μB).
Fractional positions:
Ce (0.001, 0.001, 0.998)  0.93
Mg (0.373, 0.373, 0.880)  0.00
Sc (0.628, 0.628, 0.116)  0.10
Sc (0.002, 0.493, 0.502)  0.09
Sc (0.493, 0.002, 0.502)  0.09
Sc (0.002, 0.002, 0.502)  0.09
Se (0.254, 0.766, 0.725)  -0.01
Se (0.766, 0.254, 0.725)  -0.01
Se (0.254, 0.254, 0.725)  -0.01
Se (0.243, 0.243, 0.271)  0.00
Se (0.744, 0.236, 0.277)  -0.01
Se (0.236, 0.744, 0.277)  -0.01
Se (0.744, 0.744, 0.277)  -0.01
Se (0.759, 0.759, 0.723)  0.00

Summary:
SG: No. 160
calculated volume: 26.65 Å³/atom
magnetic moment: 1.51 μB per formula unit
VASP energy: -82.79 eV/cell
raw formation energy: -1.576 eV per atom

***

# 3
VASP calculation (PBE-GGA) on a relaxed structure of CeMgScSn.

a b c (Å): 5.221 5.221 5.221
angles (deg): 60.00 60.00 60.00
Each line ends with the local moment (μB).
Fractional positions:
Sc (0.500, 0.500, 0.500)  0.12
Mg (0.750, 0.750, 0.750)  0.00
Sn (0.250, 0.250, 0.250)  0.00
Ce (0.000, 0.000, 0.000)  0.76

Summary:
SG: No. 216
calculated volume: 25.16 Å³/atom
energy relative to the elements: -0.3172 eV/atom
magnetic moment: 1.10 μB per formula unit
VASP energy: -19.13 eV/cell

***

# 4
VASP calculation (PBE-GGA) on a relaxed structure of TbCeMgSc.

a b c (Å): 5.393 5.393 5.393
angles (deg): 60.00 60.00 60.00
Each line ends with the local moment (μB).
Fractional positions:
Sc (0.750, 0.750, 0.750)  0.23
Mg (0.250, 0.250, 0.250)  -0.01
Tb (0.500, 0.500, 0.500)  0.12
Ce (0.000, 0.000, 0.000)  0.76

Summary:
SG: No. 216
calculated volume: 27.73 Å³/atom
energy relative to the elements: 0.0682 eV/atom
magnetic moment: 1.38 μB per formula unit
VASP energy: -18.22 eV/cell

***

# 5
VASP calculation (PBE-GGA) on a relaxed structure of CeMgScTc.

a b c (Å): 4.921 4.921 4.921
angles (deg): 60.00 60.00 60.00
Fractional positions:
Sc (0.000, 0.000, 0.000)
Mg (0.750, 0.750, 0.750)
Tc (0.250, 0.250, 0.250)
Ce (0.500, 0.500, 0.500)

Summary:
SG: No. 216
calculated volume: 21.07 Å³/atom
energy relative to the elements: -0.0134 eV/atom
magnetic moment: 0.00 μB per formula unit
VASP energy: -24.28 eV/cell

***

# 6
VASP calculation (PBE-GGA) on a relaxed structure of CeThMgSc.

a b c (Å): 5.375 5.375 5.375
angles (deg): 60.00 60.00 60.00
Fractional positions:
Sc (0.000, 0.000, 0.000)
Mg (0.750, 0.750, 0.750)
Ce (0.500, 0.500, 0.500)
Th (0.250, 0.250, 0.250)

Summary:
SG: No. 216
calculated volume: 27.45 Å³/atom
energy relative to the elements: 0.1682 eV/atom
magnetic moment: 0.00 μB per formula unit
VASP energy: -20.61 eV/cell

***

# 7
VASP calculation (PBE-GGA) on a relaxed structure of CeMgScTi.

a b c (Å): 5.078 5.078 5.078
angles (deg): 60.00 60.00 60.00
Each line ends with the local moment (μB).
Fractional positions:
Sc (0.750, 0.750, 0.750)  0.09
Mg (0.500, 0.500, 0.500)  -0.01
Ce (0.250, 0.250, 0.250)  0.09
Ti (0.000, 0.000, 0.000)  0.83

Summary:
SG: No. 216
calculated volume: 23.15 Å³/atom
energy relative to the elements: 0.1438 eV/atom
magnetic moment: 1.19 μB per formula unit
VASP energy: -21.18 eV/cell

***

# 8
VASP calculation (PBE-GGA) on a relaxed structure of CeMgSe2.

a b c (Å): 4.249 4.249 8.825
angles (deg): 76.07 76.07 60.00
Each line ends with the local moment (μB).
Fractional positions:
Mg (0.000, 0.000, 0.000)  0.01
Se (0.102, 0.102, 0.693)  -0.02
Se (0.898, 0.898, 0.307)  -0.02
Ce (0.500, 0.500, 0.500)  0.85

Summary:
SG: No. 166
calculated volume: 33.14 Å³/atom
offset from the most stable computed form: 275 meV per atom
magnetic moment: 0.93 μB per formula unit
VASP energy: -19.05 eV/cell
raw formation energy: -1.137 eV per atom

***

# 9
VASP calculation (PBE-GGA) on a relaxed structure of Ce2MgSe.

a b c (Å): 3.692 3.692 11.001
angles (deg): 80.34 80.34 60.00
Each line ends with the local moment (μB).
Fractional positions:
Mg (0.000, 0.000, 0.000)  0.00
Se (0.500, 0.500, 0.500)  -0.01
Ce (0.106, 0.106, 0.681)  1.09
Ce (0.894, 0.894, 0.319)  1.09

Summary:
SG: No. 166
calculated volume: 31.85 Å³/atom
magnetic moment: 3.18 μB per formula unit
VASP energy: -18.63 eV/cell
raw formation energy: -0.420 eV per atom

***

# 10
VASP calculation (PBE-GGA) on a relaxed structure of Ce3MgSe6.

a b c (Å): 8.436 8.436 8.436
angles (deg): 91.59 91.59 91.59
Each line ends with the local moment (μB).
Fractional positions:
Ce (0.428, 0.922, 0.749)  0.70
Ce (0.922, 0.749, 0.428)  0.70
Ce (0.251, 0.572, 0.078)  0.70
Ce (0.749, 0.428, 0.922)  0.70
Ce (0.078, 0.251, 0.572)  0.70
Ce (0.572, 0.078, 0.251)  0.70
Mg (0.000, 0.000, 0.000)  0.00
Mg (0.500, 0.500, 0.500)  0.00
Se (0.307, 0.919, 0.078)  -0.02
Se (0.081, 0.922, 0.693)  -0.02
Se (0.587, 0.808, 0.458)  -0.03
Se (0.922, 0.693, 0.081)  -0.02
Se (0.458, 0.587, 0.808)  -0.03
Se (0.192, 0.542, 0.413)  -0.03
Se (0.808, 0.458, 0.587)  -0.03
Se (0.542, 0.413, 0.192)  -0.03
Se (0.078, 0.307, 0.919)  -0.02
Se (0.413, 0.192, 0.542)  -0.03
Se (0.919, 0.078, 0.307)  -0.02
Se (0.693, 0.081, 0.922)  -0.02

Summary:
SG: No. 148
calculated volume: 29.99 Å³/atom
magnetic moment: 2.01 μB per formula unit
VASP energy: -112.92 eV/cell
raw formation energy: -1.616 eV per atom

***

# 11
VASP calculation (PBE-GGA) on a relaxed structure of Ce3Mg5Se12.

a b c (Å): 14.014 14.014 14.014
angles (deg): 109.47 109.47 109.47
Fractional positions:
Ce (0.750, 0.375, 0.125)
Ce (0.875, 0.750, 0.125)
Ce (0.375, 0.750, 0.625)
Ce (0.250, 0.125, 0.375)
Ce (0.875, 0.125, 0.250)
Ce (0.375, 0.625, 0.250)
Ce (0.625, 0.375, 0.750)
Ce (0.125, 0.875, 0.750)
Ce (0.750, 0.875, 0.625)
Ce (0.625, 0.250, 0.375)
Ce (0.125, 0.250, 0.875)
Ce (0.250, 0.625, 0.875)
Mg (0.125, 0.375, 0.250)
Mg (0.000, 0.500, 0.000)
Mg (0.000, 0.000, 0.000)
Mg (0.375, 0.250, 0.125)
Mg (0.500, 0.000, 0.500)
Mg (0.500, 0.500, 0.000)
Mg (0.125, 0.750, 0.375)
Mg (0.750, 0.125, 0.875)
Mg (0.750, 0.625, 0.375)
Mg (0.375, 0.125, 0.750)
Mg (0.625, 0.875, 0.250)
Mg (0.500, 0.500, 0.500)
Mg (0.500, 0.000, 0.000)
Mg (0.000, 0.000, 0.500)
Mg (0.250, 0.375, 0.625)
Mg (0.250, 0.875, 0.125)
Mg (0.000, 0.500, 0.500)
Mg (0.875, 0.250, 0.625)
Mg (0.625, 0.750, 0.875)
Mg (0.875, 0.625, 0.750)
Se (0.721, 0.129, 0.045)
Se (0.324, 0.545, 0.416)
Se (0.955, 0.371, 0.279)
Se (0.545, 0.221, 0.129)
Se (0.592, 0.721, 0.676)
Se (0.955, 0.584, 0.176)
Se (0.324, 0.779, 0.408)
Se (0.084, 0.908, 0.129)
Se (0.584, 0.955, 0.676)
Se (0.721, 0.592, 0.176)
Se (0.779, 0.455, 0.371)
Se (0.824, 0.916, 0.045)
Se (0.129, 0.721, 0.545)
Se (0.371, 0.416, 0.092)
Se (0.092, 0.916, 0.371)
Se (0.408, 0.129, 0.584)
Se (0.092, 0.176, 0.221)
Se (0.455, 0.676, 0.084)
Se (0.824, 0.908, 0.279)
Se (0.129, 0.408, 0.084)
Se (0.371, 0.955, 0.779)
Se (0.584, 0.629, 0.408)
Se (0.916, 0.824, 0.545)
Se (0.779, 0.324, 0.908)
Se (0.416, 0.371, 0.592)
Se (0.084, 0.176, 0.455)
Se (0.221, 0.676, 0.092)
Se (0.176, 0.092, 0.721)
Se (0.629, 0.045, 0.221)
Se (0.871, 0.592, 0.916)
Se (0.545, 0.324, 0.916)
Se (0.592, 0.871, 0.416)
Se (0.908, 0.824, 0.779)
Se (0.908, 0.084, 0.629)
Se (0.871, 0.279, 0.455)
Se (0.176, 0.084, 0.955)
Se (0.629, 0.584, 0.908)
Se (0.416, 0.045, 0.324)
Se (0.279, 0.408, 0.824)
Se (0.221, 0.545, 0.629)
Se (0.916, 0.092, 0.871)
Se (0.676, 0.221, 0.592)
Se (0.455, 0.779, 0.871)
Se (0.045, 0.416, 0.824)
Se (0.408, 0.279, 0.324)
Se (0.045, 0.629, 0.721)
Se (0.676, 0.455, 0.584)
Se (0.279, 0.871, 0.955)

Summary:
SG: No. 230
calculated volume: 26.49 Å³/atom
magnetic moment: 0.00 μB per formula unit
VASP energy: -365.41 eV/cell
raw formation energy: -1.188 eV per atom

***

# 12
VASP calculation (PBE-GGA) on a relaxed structure of CeMgSe2.

a b c (Å): 3.973 3.973 7.458
angles (deg): 74.55 74.55 60.00
Each line ends with the local moment (μB).
Fractional positions:
Ce (0.500, 0.500, 0.501)  1.32
Mg (0.668, 0.668, 0.996)  0.01
Se (0.072, 0.072, 0.784)  -0.01
Se (0.260, 0.260, 0.219)  -0.01

Summary:
SG: No. 160
calculated volume: 24.25 Å³/atom
offset from the most stable computed form: 0 meV per atom
magnetic moment: 1.98 μB per formula unit
VASP energy: -20.15 eV/cell
raw formation energy: -1.412 eV per atom